Record 1
{
  "formula": "Sr3Al2Cu6",
  "functional": "PBE",
  "state": "relaxed",
  "lattice_angstrom": [[-4.819, 4.819, 4.819], [4.819, -4.819, 4.819], [4.819, 4.819, -4.819]],
  "species": ["Sr", "Sr", "Sr", "Sr", "Sr", "Sr", "Al", "Al", "Al", "Al", "Cu", "Cu", "Cu", "Cu", "Cu", "Cu", "Cu", "Cu", "Cu", "Cu", "Cu", "Cu"],
  "fractional_positions": [[0.000, 0.294, 0.294], [0.000, 0.706, 0.706], [0.294, 0.000, 0.294], [0.294, 0.294, 0.000], [0.706, 0.000, 0.706], [0.706, 0.706, 0.000], [0.000, 0.000, 0.500], [0.000, 0.500, 0.000], [0.500, 0.000, 0.000], [0.500, 0.500, 0.500], [0.000, 0.323, 0.677], [0.000, 0.677, 0.323], [0.323, 0.000, 0.677], [0.323, 0.323, 0.645], [0.323, 0.645, 0.323], [0.323, 0.677, 0.000], [0.355, 0.677, 0.677], [0.645, 0.323, 0.323], [0.677, 0.000, 0.323], [0.677, 0.323, 0.000], [0.677, 0.355, 0.677], [0.677, 0.677, 0.355]],
  "space_group": "Im-3m",
  "dft_energy_ev_per_atom": -3.46,
  "e_form_ev_per_atom": -0.084
}


Record 2
{
  "formula": "Dy2Zn17",
  "functional": "PBE",
  "state": "relaxed",
  "lattice_angstrom": [[8.960, 0.000, 0.000], [-4.480, 7.760, 0.000], [0.000, 0.000, 8.773]],
  "species": ["Dy", "Dy", "Dy", "Dy", "Zn", "Zn", "Zn", "Zn", "Zn", "Zn", "Zn", "Zn", "Zn", "Zn", "Zn", "Zn", "Zn", "Zn", "Zn", "Zn", "Zn", "Zn", "Zn", "Zn", "Zn", "Zn", "Zn", "Zn", "Zn", "Zn", "Zn", "Zn", "Zn", "Zn", "Zn", "Zn", "Zn", "Zn"],
  "fractional_positions": [[0.000, 0.000, 0.250], [0.000, 0.000, 0.750], [0.333, 0.667, 0.250], [0.667, 0.333, 0.750], [0.000, 0.500, 0.000], [0.000, 0.500, 0.500], [0.038, 0.367, 0.750], [0.038, 0.671, 0.750], [0.162, 0.323, 0.022], [0.162, 0.323, 0.478], [0.162, 0.838, 0.022], [0.162, 0.838, 0.478], [0.323, 0.162, 0.522], [0.323, 0.162, 0.978], [0.329, 0.367, 0.750], [0.329, 0.962, 0.750], [0.333, 0.667, 0.600], [0.333, 0.667, 0.900], [0.367, 0.038, 0.250], [0.367, 0.329, 0.250], [0.500, 0.000, 0.000], [0.500, 0.000, 0.500], [0.500, 0.500, 0.000], [0.500, 0.500, 0.500], [0.633, 0.671, 0.750], [0.633, 0.962, 0.750], [0.667, 0.333, 0.100], [0.667, 0.333, 0.400], [0.671, 0.038, 0.250], [0.671, 0.633, 0.250], [0.677, 0.838, 0.022], [0.677, 0.838, 0.478], [0.838, 0.162, 0.522], [0.838, 0.162, 0.978], [0.838, 0.677, 0.522], [0.838, 0.677, 0.978], [0.962, 0.329, 0.250], [0.962, 0.633, 0.250]],
  "de_polymorph_ev_per_fu": 0.07,
  "space_group": "P6_3/mmc",
  "dft_energy_ev_per_atom": -1.85,
  "e_form_ev_per_atom": -0.229
}


Record 3
{
  "formula": "LiHfAgPd",
  "functional": "PBE",
  "state": "relaxed",
  "lattice_angstrom": [[0.000, 3.249, 3.249], [3.249, 0.000, 3.249], [3.249, 3.249, 0.000]],
  "species": ["Li", "Hf", "Ag", "Pd"],
  "fractional_positions": [[0.000, 0.000, 0.000], [0.500, 0.500, 0.500], [0.750, 0.750, 0.750], [0.250, 0.250, 0.250]],
  "space_group": "F-43m",
  "dft_energy_ev_per_atom": -5.27,
  "e_form_ev_per_atom": -0.288
}


Record 4
{
  "formula": "AcMgGeCl",
  "functional": "PBE",
  "state": "relaxed",
  "lattice_angstrom": [[2.286, 1.320, 13.012], [-2.286, 1.320, 13.012], [0.000, -2.640, 13.012]],
  "species": ["Ac", "Ac", "Mg", "Mg", "Ge", "Ge", "Cl", "Cl"],
  "fractional_positions": [[0.092, 0.092, 0.092], [0.908, 0.908, 0.908], [0.309, 0.309, 0.309], [0.691, 0.691, 0.691], [0.381, 0.381, 0.381], [0.619, 0.619, 0.619], [0.201, 0.201, 0.201], [0.799, 0.799, 0.799]],
  "space_group": "R-3m",
  "formation_energy_uncorrected_mev_per_atom": -1186,
  "dft_energy_ev_per_atom": -4.23
}


Record 5
{
  "formula": "Pm4CdFe",
  "functional": "PBE",
  "state": "relaxed",
  "lattice_angstrom": [[4.476, -6.379, 0.000], [4.476, 6.379, 0.000], [-1.828, 0.000, 5.950]],
  "species": ["Pm", "Pm", "Pm", "Pm", "Pm", "Pm", "Pm", "Pm", "Cd", "Cd", "Fe", "Fe"],
  "fractional_positions": [[0.055, 0.734, 0.957], [0.199, 0.372, 0.605], [0.266, 0.945, 0.543], [0.372, 0.199, 0.105], [0.628, 0.801, 0.895], [0.734, 0.055, 0.457], [0.801, 0.628, 0.395], [0.945, 0.266, 0.043], [0.376, 0.624, 0.250], [0.624, 0.376, 0.750], [0.000, 0.000, 0.250], [0.000, 0.000, 0.750]],
  "space_group": "C2/c",
  "dft_energy_ev_per_atom": -4.79,
  "e_form_ev_per_atom": -0.056
}


Record 6
{
  "formula": "NdIn12Pd4",
  "functional": "PBE",
  "state": "relaxed",
  "lattice_angstrom": [[-4.796, 4.796, 4.796], [4.796, -4.796, 4.796], [4.796, 4.796, -4.796]],
  "species": ["Nd", "In", "In", "In", "In", "In", "In", "In", "In", "In", "In", "In", "In", "Pd", "Pd", "Pd", "Pd"],
  "fractional_positions": [[0.000, 0.000, 0.000], [0.160, 0.497, 0.337], [0.160, 0.823, 0.663], [0.177, 0.337, 0.840], [0.337, 0.160, 0.497], [0.337, 0.840, 0.177], [0.497, 0.337, 0.160], [0.503, 0.663, 0.840], [0.663, 0.160, 0.823], [0.663, 0.840, 0.503], [0.823, 0.663, 0.160], [0.840, 0.177, 0.337], [0.840, 0.503, 0.663], [0.000, 0.000, 0.500], [0.000, 0.500, 0.000], [0.500, 0.000, 0.000], [0.500, 0.500, 0.500]],
  "space_group": "Im-3",
  "dft_energy_ev_per_atom": -3.64,
  "e_form_ev_per_atom": -0.201
}


Record 7
{
  "formula": "LuInPd",
  "functional": "PBE",
  "state": "relaxed",
  "lattice_angstrom": [[0.000, 3.296, 3.296], [3.296, 0.000, 3.296], [3.296, 3.296, 0.000]],
  "species": ["Lu", "In", "Pd"],
  "fractional_positions": [[0.000, 0.000, 0.000], [0.500, 0.500, 0.500], [0.750, 0.750, 0.750]],
  "space_group": "F-43m",
  "dft_energy_ev_per_atom": -4.81,
  "e_form_ev_per_atom": -0.658
}


Record 8
{
  "formula": "K2Sn6Au",
  "functional": "PBE",
  "state": "relaxed",
  "lattice_angstrom": [[6.878, 0.000, 0.000], [-3.439, 5.957, 0.000], [0.000, 0.000, 6.470]],
  "species": ["K", "K", "Sn", "Sn", "Sn", "Sn", "Sn", "Sn", "Au"],
  "fractional_positions": [[0.333, 0.667, 0.356], [0.667, 0.333, 0.644], [0.170, 0.340, 0.827], [0.170, 0.830, 0.827], [0.340, 0.170, 0.173], [0.660, 0.830, 0.827], [0.830, 0.170, 0.173], [0.830, 0.660, 0.173], [0.000, 0.000, 0.500]],
  "space_group": "P-3m1",
  "dft_energy_ev_per_atom": -3.48,
  "e_form_ev_per_atom": -0.204
}


Record 9
{
  "formula": "Cs2BaPuCl8",
  "functional": "PBE",
  "state": "relaxed",
  "lattice_angstrom": [[5.716, 0.000, 0.000], [0.000, 9.753, 0.000], [-1.459, 0.000, 8.078]],
  "species": ["Cs", "Cs", "Ba", "Pu", "Cl", "Cl", "Cl", "Cl", "Cl", "Cl", "Cl", "Cl"],
  "fractional_positions": [[0.000, 0.246, 0.000], [0.000, 0.754, 0.000], [0.500, 0.500, 0.500], [0.500, 0.000, 0.500], [0.008, 0.500, 0.277], [0.089, 0.000, 0.313], [0.423, 0.207, 0.695], [0.423, 0.793, 0.695], [0.577, 0.207, 0.305], [0.577, 0.793, 0.305], [0.911, 0.000, 0.687], [0.992, 0.500, 0.723]],
  "space_group": "P2/m",
  "formation_energy_uncorrected_mev_per_atom": -1978,
  "dft_energy_ev_per_atom": -4.71
}


Record 10
{
  "formula": "KOs2W",
  "functional": "PBE",
  "state": "relaxed",
  "lattice_angstrom": [[-1.336, 2.592, 5.402], [1.336, -2.592, 5.402], [1.336, 2.592, -5.402]],
  "species": ["K", "Os", "Os", "W"],
  "fractional_positions": [[0.000, 0.000, 0.000], [0.286, 0.786, 0.500], [0.490, 0.490, 0.000], [0.705, 0.205, 0.500]],
  "de_polymorph_ev_per_fu": 1.95,
  "space_group": "Imm2",
  "dft_energy_ev_per_atom": -7.95,
  "e_form_ev_per_atom": 1.176
}


Record 11
{
  "formula": "TlPdF3",
  "functional": "PBE",
  "state": "relaxed",
  "lattice_angstrom": [[8.214, 0.000, 0.000], [0.000, 6.008, 0.000], [-4.247, 0.000, 7.237]],
  "species": ["Tl", "Tl", "Tl", "Tl", "Pd", "Pd", "Pd", "Pd", "F", "F", "F", "F", "F", "F", "F", "F", "F", "F", "F", "F"],
  "fractional_positions": [[0.138, 0.250, 0.072], [0.138, 0.250, 0.572], [0.862, 0.750, 0.428], [0.862, 0.750, 0.928], [0.411, 0.714, 0.455], [0.411, 0.786, 0.955], [0.589, 0.214, 0.045], [0.589, 0.286, 0.545], [0.152, 0.580, 0.326], [0.152, 0.920, 0.826], [0.338, 0.130, 0.420], [0.338, 0.370, 0.920], [0.398, 0.749, 0.699], [0.398, 0.751, 0.199], [0.602, 0.249, 0.801], [0.602, 0.251, 0.301], [0.662, 0.630, 0.080], [0.662, 0.870, 0.580], [0.848, 0.080, 0.174], [0.848, 0.420, 0.674]],
  "de_polymorph_ev_per_fu": 0.15,
  "space_group": "P2_1/c",
  "formation_energy_uncorrected_mev_per_atom": -1410,
  "dft_energy_ev_per_atom": -4.04
}


Record 12
{
  "formula": "AcYZn2Pd5",
  "functional": "PBE",
  "state": "relaxed",
  "lattice_angstrom": [[4.269, 0.000, 0.000], [0.000, 4.269, 0.000], [0.000, 0.000, 9.496]],
  "species": ["Ac", "Y", "Zn", "Zn", "Pd", "Pd", "Pd", "Pd", "Pd"],
  "fractional_positions": [[0.000, 0.000, 0.000], [0.000, 0.000, 0.500], [0.500, 0.500, 0.373], [0.500, 0.500, 0.627], [0.000, 0.500, 0.235], [0.000, 0.500, 0.765], [0.500, 0.000, 0.235], [0.500, 0.000, 0.765], [0.500, 0.500, 0.000]],
  "space_group": "P4/mmm",
  "dft_energy_ev_per_atom": -4.98,
  "e_form_ev_per_atom": -0.635
}


Record 13
{
  "formula": "K2YFe",
  "functional": "PBE",
  "state": "relaxed",
  "lattice_angstrom": [[10.756, -1.797, 0.000], [10.756, 1.797, 0.000], [-0.851, 0.000, 4.225]],
  "species": ["K", "K", "Y", "Fe"],
  "fractional_positions": [[0.154, 0.154, 0.151], [0.846, 0.846, 0.849], [0.000, 0.000, 0.500], [0.500, 0.500, 0.000]],
  "de_polymorph_ev_per_fu": 0.07,
  "space_group": "C2/m",
  "dft_energy_ev_per_atom": -3.76,
  "e_form_ev_per_atom": 0.519
}